(1)
Density functional theory data (SCAN) for a crystal of CrPbCl2 relaxed with PBEsol.

Cell and atoms, written as extended XYZ:
```
4
Lattice="3.615 0.011 0.017 -1.680 5.247 -0.056 -1.680 -2.200 4.764" Properties=species:S:1:pos:R:3 pbc="T T T"
Pb 0.127 1.529 2.362
Cr 1.807 0.006 0.009
Cl -0.840 2.624 -0.028
Cl -0.840 -1.100 2.382
```

Values from the calculation:
The value obtained for the uncorrected formation energy is -412 meV per atom. For the calculated volume, the calculation gives 22.555 Å³ per atom. Its symmetry is C2/m, No. 12. The energy above the most stable polymorph in this dataset comes out at 373.8 meV/atom.

(2)
Density functional theory data (SCAN) for a crystal of Sn2Ge2O7 relaxed with PBEsol.

Cell and atoms, written as extended XYZ:
```
44
Lattice="6.824 -0.004 0.071 1.011 6.804 0.057 1.359 1.992 12.938" Properties=species:S:1:pos:R:3 pbc="T T T"
Sn 3.434 1.885 1.750
Sn 1.436 4.934 1.826
Sn 5.267 2.332 4.733
Sn 2.386 6.879 4.568
Sn 6.809 1.914 8.499
Sn 3.928 6.461 8.334
Sn 7.759 3.859 11.240
Sn 5.761 6.908 11.316
Ge 6.811 1.670 1.720
Ge 4.843 5.159 2.634
Ge 1.906 3.384 4.821
Ge 5.732 5.795 5.548
Ge 3.463 2.998 7.519
Ge 7.288 5.409 8.246
Ge 4.351 3.634 10.433
Ge 2.384 7.123 11.347
O 3.199 7.326 12.855
O 1.293 2.843 1.808
O 6.254 5.093 1.633
O 3.488 4.285 1.912
O 5.446 2.252 2.711
O 1.657 6.975 2.380
O 4.315 6.718 3.205
O 5.281 4.494 4.353
O 3.230 2.395 4.146
O 1.563 4.848 3.909
O 6.666 7.121 4.928
O 7.324 2.342 4.923
O 4.273 6.284 6.370
O 2.441 3.925 6.417
O 6.753 4.868 6.650
O 4.922 2.509 6.697
O 1.870 6.451 8.143
O 2.528 1.672 8.139
O 7.631 3.945 9.158
O 5.964 6.397 8.920
O 3.913 4.299 8.714
O 4.879 2.075 9.862
O 7.538 1.818 10.687
O 3.748 6.541 10.355
O 5.706 4.508 11.155
O 2.940 3.700 11.433
O 7.902 5.950 11.258
O 5.996 1.466 0.212
```

Values from the calculation:
The value obtained for the uncorrected formation energy is -1644 meV per atom. For the calculated volume, the calculation gives 13.626 Å³ per atom. Its symmetry is P-1, No. 2.

(3)
Density functional theory data (SCAN) for a crystal of Hf2ScFe relaxed with PBEsol.

Cell and atoms, written as extended XYZ:
```
4
Lattice="4.623 0.000 0.000 2.312 4.004 0.000 2.312 1.335 3.775" Properties=species:S:1:pos:R:3 pbc="T T T"
Sc 0.000 0.000 0.000
Hf 2.312 1.335 0.944
Hf 6.935 4.004 2.831
Fe 4.623 2.669 1.887
```

Values from the calculation:
For the calculated volume, the calculation gives 17.467 Å³ per atom. Its symmetry is Fm-3m, No. 225. The formation energy is 0.221 eV per atom.